# 1
This record from Alexandria describes a relaxed AgPd3O crystal. The functional is PBE.

Lattice parameters (Å, degrees): 4.9358 4.9358 4.9358 90.00 90.00 90.00
Last column: nearest neighbours and their distance in Å.
Space group Pm-3m (No. 221)
Unique sites:
Ag 0.0000 0.0000 0.0000  6 Pd 2.47
Pd 0.0000 0.0000 0.5000  2 Ag 2.47
O 0.5000 0.5000 0.5000  12 Pd 3.49

Output
N(E_F) in states/eV per cell: 14.4
Raw total energy in eV for the cell shown: -14.8
E_form (uncorrected) in eV/atom: 1.709



# 2
This record from Alexandria describes a relaxed CaAcAu crystal. The functional is PBE.

Lattice parameters (Å, degrees): 7.8653 5.1347 14.1865 90.00 90.45 90.00
Last column: nearest neighbours and their distance in Å.
Space group P2_1/m (No. 11)
Unique sites:
Ca 0.0191 0.2500 0.4176  4 Au 3.04-3.24
Ca 0.1396 0.2500 0.0422  4 Au 3.10-3.19
Ca 0.3612 0.7500 0.7093  4 Au 3.03-3.18
Ac 0.0117 0.2500 0.7816  3 Au 3.13-3.37
Ac 0.3727 0.7500 0.4162  1 Au 3.13
Ac 0.4733 0.7500 0.1191  5 Au 3.24-3.60
Au 0.2306 0.2500 0.5984  5 Ca 3.05-3.24, 2 Ac 3.13
Au 0.2535 0.7500 0.9251  4 Ca 3.13-3.19, 3 Ac 3.24-3.41
Au 0.2594 0.2500 0.2505  3 Ca 3.03-3.10, 2 Ac 3.37

Output
Energy of formation from the pure elements in eV/atom: -0.549
N(E_F) in states/eV per cell: 18.4
Raw total energy in eV for the cell shown: -66.2



# 3
This record from Alexandria describes a relaxed ReB2H crystal. The functional is PBE.

Lattice parameters (Å, degrees): 5.1526 5.1526 5.1526 90.00 90.00 90.00
Last column: nearest neighbours and their distance in Å.
Space group Fm-3m (No. 225)
Unique sites:
Re 0.0000 0.0000 0.0000  8 B 2.23
B 0.2500 0.2500 0.2500  4 H 2.23, 4 Re 2.23
H 0.0000 0.0000 0.5000  8 B 2.23

Output
N(E_F) in states/eV per cell: 5.3
Raw total energy in eV for the cell shown: -96.3



# 4
This record from Alexandria describes a relaxed GdDyIr crystal. The functional is PBE.

Lattice parameters (Å, degrees): 6.8227 6.8227 6.8227 90.00 90.00 90.00
Last column: nearest neighbours and their distance in Å.
Space group F-43m (No. 216)
Unique sites:
Gd 0.0000 0.0000 0.0000  4 Ir 2.95
Dy 0.0000 0.0000 0.5000  4 Ir 2.95
Ir 0.2500 0.2500 0.2500  4 Gd 2.95, 4 Dy 2.95

Output
Energy of formation from the pure elements in eV/atom: -0.670
N(E_F) in states/eV per cell: 12.0
Raw total energy in eV for the cell shown: -118.2



# 5
This record from Alexandria describes a relaxed TcMoP2 crystal. The functional is PBE.

Lattice parameters (Å, degrees): 3.0128 5.0310 7.5989 90.00 90.00 90.00
Last column: nearest neighbours and their distance in Å.
Space group Immm (No. 71)
Unique sites:
Tc 0.0000 0.0000 0.0000  4 P 2.40
Mo 0.0000 0.0000 0.5000  4 P 2.45
P 0.0000 0.5000 0.2548  2 Tc 2.40, 2 Mo 2.45

Output
Energy of formation from the pure elements in eV/atom: 0.087
N(E_F) in states/eV per cell: 6.8
Raw total energy in eV for the cell shown: -63.3



# 6
This record from Alexandria describes a relaxed LiDy2P3Rh12 crystal. The functional is PBE.

Lattice parameters (Å, degrees): 8.7814 8.7814 12.8542 90.00 90.00 120.00
Last column: nearest neighbours and their distance in Å.
Space group R-3m (No. 166, hexagonal axes)
Unique sites:
Li 0.0000 0.0000 0.0000  6 Rh 2.53
Dy 0.0000 0.0000 0.3726  3 Rh 2.57
P 0.0000 0.5000 0.5000  2 Rh 2.23
Rh 0.0006 0.5003 0.6735  1 P 2.23
Rh 0.0256 0.5128 0.8818  2 P 2.52, 1 Rh 2.68

Output
Energy of formation from the pure elements in eV/atom: -0.345
N(E_F) in states/eV per cell: 43.7
Raw total energy in eV for the cell shown: -365.3



- Among the records above, which one has the highest N(E_F)?
  LiDy2P3Rh12



- Among the records above, which one has the highest N(E_F)?
  LiDy2P3Rh12



- Look up the raw total energy of the second one.
  -66.2 eV for the cell shown



- Which formula does entry 4 have?
  GdDyIr